# La7Tb3Dy (PBE-GGA, optimized geometry)
data_La7Tb3Dy
_chemical_formula_sum 'La14 Tb6 Dy2'
_cell_length_a 6.973
_cell_length_b 10.230
_cell_length_c 12.032
_cell_angle_alpha 99.88
_cell_angle_beta 101.24
_cell_angle_gamma 107.25
_space_group_name_H-M_alt 'P 1'
_space_group_IT_number 1
loop_
_space_group_symop_operation_xyz
'x,y,z'
loop_
_atom_site_label
_atom_site_type_symbol
_atom_site_fract_x
_atom_site_fract_y
_atom_site_fract_z
La1 La 0.000 0.000 0.000
La2 La 0.015 0.707 0.687
La3 La 0.069 0.173 0.333
La4 La 0.121 0.637 0.957
La5 La 0.268 0.069 0.644
La6 La 0.303 0.531 0.223
La7 La 0.355 0.785 0.504
La8 La 0.500 0.500 0.500
La9 La 0.515 0.206 0.187
La10 La 0.568 0.673 0.833
La11 La 0.621 0.138 0.457
La12 La 0.769 0.568 0.144
La13 La 0.803 0.031 0.722
La14 La 0.856 0.285 0.004
Tb1 Tb 0.182 0.873 0.236
Tb2 Tb 0.329 0.314 0.921
Tb3 Tb 0.437 0.976 0.909
Tb4 Tb 0.682 0.373 0.736
Tb5 Tb 0.829 0.814 0.421
Tb6 Tb 0.936 0.476 0.409
Dy1 Dy 0.127 0.365 0.655
Dy2 Dy 0.627 0.865 0.155
# Magnetization: 0.00 μB per atom
# Volume: 35.4 Å³/atom
# Relative energy among the computed polymorphs: 0.0000 eV/atom
# Energy: -4.751 eV per atom
# Calculated formation energy: 0.066 eV/atom


# LaTb2Dy6 (PBE-GGA, optimized geometry)
data_LaTb2Dy6
_chemical_formula_sum 'La2 Tb4 Dy12'
_cell_length_a 10.706
_cell_length_b 10.706
_cell_length_c 5.058
_cell_angle_alpha 90.00
_cell_angle_beta 90.00
_cell_angle_gamma 90.00
_space_group_name_H-M_alt 'P 42/m n m'
_space_group_IT_number 136
_space_group_name_Hall '-P 4n 2n'
loop_
_atom_site_label
_atom_site_type_symbol
_atom_site_fract_x
_atom_site_fract_y
_atom_site_fract_z
La1 La 0.000 0.000 0.000
Tb1 Tb 0.169 0.169 0.500
Dy1 Dy 0.000 0.335 0.000
Dy2 Dy 0.169 0.831 0.500
# Magnetization: 0.00 μB per atom
# Volume: 32.2 Å³/atom
# Relative energy among the computed polymorphs: 0.0000 eV/atom
# Energy: -4.622 eV per atom
# Calculated formation energy: 0.023 eV/atom


# LaTb5Dy4 (PBE-GGA, optimized geometry)
data_LaTb5Dy4
_chemical_formula_sum 'La2 Tb10 Dy8'
_cell_length_a 10.246
_cell_length_b 10.246
_cell_length_c 6.287
_cell_angle_alpha 90.00
_cell_angle_beta 90.00
_cell_angle_gamma 90.00
_space_group_name_H-M_alt 'I 4'
_space_group_IT_number 79
loop_
_space_group_symop_operation_xyz
'x,y,z'
'-y,x,z'
'-x,-y,z'
'y,-x,z'
'x+1/2,y+1/2,z+1/2'
'-y+1/2,x+1/2,z+1/2'
'-x+1/2,-y+1/2,z+1/2'
'y+1/2,-x+1/2,z+1/2'
loop_
_atom_site_label
_atom_site_type_symbol
_atom_site_fract_x
_atom_site_fract_y
_atom_site_fract_z
La1 La 0.000 0.000 0.000
Tb1 Tb 0.000 0.000 0.541
Tb2 Tb 0.147 0.233 0.274
Dy1 Dy 0.050 0.350 0.767
# Magnetization: 0.00 μB per atom
# Volume: 33.0 Å³/atom
# Relative energy among the computed polymorphs: 0.2344 eV/atom
# Energy: -4.354 eV per atom
# Calculated formation energy: 0.295 eV/atom


# LaTb5Dy12 (PBE-GGA, optimized geometry)
data_LaTb5Dy12
_chemical_formula_sum 'La2 Tb10 Dy24'
_cell_length_a 18.479
_cell_length_b 10.684
_cell_length_c 6.160
_cell_angle_alpha 90.00
_cell_angle_beta 109.23
_cell_angle_gamma 90.00
_space_group_name_H-M_alt 'C 1 2/m 1'
_space_group_IT_number 12
loop_
_space_group_symop_operation_xyz
'x,y,z'
'-x,-y,-z'
'-x,y,-z'
'x,-y,z'
'x+1/2,y+1/2,z'
'-x+1/2,-y+1/2,-z'
'-x+1/2,y+1/2,-z'
'x+1/2,-y+1/2,z'
loop_
_atom_site_label
_atom_site_type_symbol
_atom_site_fract_x
_atom_site_fract_y
_atom_site_fract_z
La1 La 0.000 0.000 0.000
Tb1 Tb 0.000 0.500 0.500
Tb2 Tb 0.167 0.500 0.000
Tb3 Tb 0.168 0.000 0.503
Dy1 Dy 0.000 0.169 0.500
Dy2 Dy 0.000 0.335 0.000
Dy3 Dy 0.167 0.333 0.499
Dy4 Dy 0.168 0.168 0.001
# Magnetization: 0.00 μB per atom
# Volume: 31.9 Å³/atom
# Energy: -4.608 eV per atom
# Calculated formation energy: 0.020 eV/atom


# LaTb3Dy4 (PBE-GGA, optimized geometry)
data_LaTb3Dy4
_chemical_formula_sum 'La2 Tb6 Dy8'
_cell_length_a 11.404
_cell_length_b 7.306
_cell_length_c 6.301
_cell_angle_alpha 90.00
_cell_angle_beta 90.00
_cell_angle_gamma 90.00
_space_group_name_H-M_alt 'P m n 21'
_space_group_IT_number 31
loop_
_space_group_symop_operation_xyz
'x,y,z'
'-x+1/2,-y,z+1/2'
'-x,y,z'
'x+1/2,-y,z+1/2'
loop_
_atom_site_label
_atom_site_type_symbol
_atom_site_fract_x
_atom_site_fract_y
_atom_site_fract_z
La1 La 0.000 0.126 0.000
Tb1 Tb 0.000 0.872 0.502
Tb2 Tb 0.249 0.127 0.336
Dy1 Dy 0.000 0.378 0.503
Dy2 Dy 0.000 0.624 0.002
Dy3 Dy 0.248 0.623 0.336
# Magnetization: 0.00 μB per atom
# Volume: 32.8 Å³/atom
# Relative energy among the computed polymorphs: 0.0000 eV/atom
# Energy: -4.633 eV per atom
# Calculated formation energy: 0.020 eV/atom


# La6TbDy8 (PBE-GGA, optimized geometry)
data_La6TbDy8
_chemical_formula_sum 'La18 Tb3 Dy24'
_cell_length_a 9.1478
_cell_length_b 9.1478
_cell_length_c 21.2175
_cell_angle_alpha 90.00
_cell_angle_beta 90.00
_cell_angle_gamma 120.00
_space_group_name_H-M_alt 'R -3'
_space_group_IT_number 148
_space_group_name_Hall '-R 3'
loop_
_atom_site_label
_atom_site_type_symbol
_atom_site_fract_x
_atom_site_fract_y
_atom_site_fract_z
La1 La 0.0543 0.8067 0.2127
Tb1 Tb 0.0000 0.0000 0.5000
Dy1 Dy 0.0000 0.0000 0.0768
Dy2 Dy 0.0803 0.5135 0.3058
# Magnetization: 0.00 μB per atom
# Volume: 34.2 Å³/atom
# Energy: -4.621 eV per atom
# Calculated formation energy: 0.114 eV/atom


# LaTb8Dy2 (PBE-GGA, optimized geometry)
data_LaTb8Dy2
_chemical_formula_sum 'La2 Tb16 Dy4'
_cell_length_a 18.129
_cell_length_b 7.148
_cell_length_c 5.980
_cell_angle_alpha 90.00
_cell_angle_beta 107.59
_cell_angle_gamma 90.00
_space_group_name_H-M_alt 'C 1 2/m 1'
_space_group_IT_number 12
loop_
_space_group_symop_operation_xyz
'x,y,z'
'-x,-y,-z'
'-x,y,-z'
'x,-y,z'
'x+1/2,y+1/2,z'
'-x+1/2,-y+1/2,-z'
'-x+1/2,y+1/2,-z'
'x+1/2,-y+1/2,z'
loop_
_atom_site_label
_atom_site_type_symbol
_atom_site_fract_x
_atom_site_fract_y
_atom_site_fract_z
La1 La 0.000 0.000 0.000
Tb1 Tb 0.011 0.500 0.251
Tb2 Tb 0.131 0.231 0.649
Tb3 Tb 0.201 0.000 0.221
Dy1 Dy 0.190 0.500 0.178
# Magnetization: 0.00 μB per atom
# Volume: 33.6 Å³/atom
# Relative energy among the computed polymorphs: 0.0373 eV/atom
# Energy: -4.497 eV per atom
# Calculated formation energy: 0.155 eV/atom


# La3Tb5Dy4 (PBE-GGA, optimized geometry)
data_La3Tb5Dy4
_chemical_formula_sum 'La3 Tb5 Dy4'
_cell_length_a 6.242
_cell_length_b 7.193
_cell_length_c 8.838
_cell_angle_alpha 89.88
_cell_angle_beta 89.79
_cell_angle_gamma 89.87
_space_group_name_H-M_alt 'P -1'
_space_group_IT_number 2
loop_
_space_group_symop_operation_xyz
'x,y,z'
'-x,-y,-z'
loop_
_atom_site_label
_atom_site_type_symbol
_atom_site_fract_x
_atom_site_fract_y
_atom_site_fract_z
La1 La 0.000 0.000 0.000
La2 La 0.166 0.252 0.334
Tb1 Tb 0.000 0.500 0.000
Tb2 Tb 0.336 0.000 0.667
Tb3 Tb 0.498 0.748 0.000
Dy1 Dy 0.170 0.749 0.333
Dy2 Dy 0.333 0.499 0.668
# Magnetization: 0.00 μB per atom
# Volume: 33.1 Å³/atom
# Relative energy among the computed polymorphs: 0.0000 eV/atom
# Energy: -4.671 eV per atom
# Calculated formation energy: 0.024 eV/atom


| no. | DOS at the Fermi energy (states/eV per cell) | ρ (Mg/m³) |
| --- | --- | --- |
| 1 | 34.0 | 6.867 |
| 2 | 23.1 | 8.201 |
| 3 | 28.2 | 7.968 |
| 4 | 47.1 | 8.339 |
| 5 | 27.2 | 8.006 |
| 6 | 70.0 | 7.427 |
| 7 | 31.7 | 7.802 |
| 8 | 17.4 | 7.789 |